Entry 1:
Cs3CeTm2Se6 | PBE-GGA | relaxed

Computed properties:
Energy relative to the elements, uncorrected = -20.23 eV/f.u.
Space-group type = C2/m (12)
Density of states at the Fermi level = 0.70 states/eV per atom
Volume = 33.5 Å³ per atom

Unit cell a=7.444 b=7.444 c=8.726 alpha=98.18 beta=98.18 gamma=120.00
Fractional coordinates of all 12 atoms:
Cs: 0.000 0.000 0.000
Cs: 0.335 0.665 0.000
Cs: 0.665 0.335 0.000
Ce: 0.500 0.500 0.500
Tm: 0.167 0.833 0.500
Tm: 0.833 0.167 0.500
Se: 0.093 0.438 0.315
Se: 0.216 0.216 0.684
Se: 0.438 0.093 0.315
Se: 0.562 0.907 0.685
Se: 0.784 0.784 0.316
Se: 0.907 0.562 0.685

---

Entry 2:
YAgRh3 | PBE-GGA | relaxed

Computed properties:
Energy relative to the lowest polymorph listed for this composition = 0.305 eV/atom
Energy of formation from the pure elements = 1.19 eV/atom
Space-group type = Pm-3m (221)
Density of states at the Fermi level = 0.73 states/eV per atom
Volume = 23.5 Å³ per atom

Unit cell a=4.895 b=4.895 c=4.895 alpha=90.00 beta=90.00 gamma=90.00
Fractional coordinates of all 5 atoms:
Y: 0.000 0.000 0.000
Ag: 0.500 0.500 0.500
Rh: 0.000 0.000 0.500
Rh: 0.000 0.500 0.000
Rh: 0.500 0.000 0.000

---

Entry 3:
CrTeBr2 | PBE-GGA | relaxed

Computed properties:
Energy relative to the lowest polymorph listed for this composition = 0.779 eV/atom
Energy relative to the elements, uncorrected = 1.86 eV/f.u.
Space-group type = Fm-3m (225)
Density of states at the Fermi level = 1.41 states/eV per atom
Volume = 25.5 Å³ per atom

Unit cell a=5.247 b=5.247 c=5.247 alpha=60.00 beta=60.00 gamma=60.00
Fractional coordinates of all 4 atoms:
Cr: 0.000 0.000 0.000
Te: 0.500 0.500 0.500
Br: 0.250 0.250 0.250
Br: 0.750 0.750 0.750